The following is a DFT calculation (GGA-PBE) of crystalline Li2BiP5O15 at its relaxed geometry.

Cell lengths 7.1174, 7.1174, 12.8937 Å; angles 89.50, 89.50, 111.88 degrees
Positions (direct):
Li  0.8463  0.3498  0.7440
Li  0.3498  0.8463  0.2440
Li  0.2262  0.2827  0.6019
Li  0.2827  0.2262  0.1019
Bi  0.1284  0.8602  0.7587
Bi  0.8602  0.1284  0.2587
P  0.3560  0.9902  0.4893
P  0.7111  0.6113  0.5726
P  0.5948  0.8105  0.8478
P  0.9902  0.3560  0.9893
P  0.6113  0.7111  0.0726
P  0.8105  0.5948  0.3478
P  0.7907  0.0748  0.5394
P  0.0748  0.7907  0.0394
P  0.2716  0.4181  0.8128
P  0.4181  0.2716  0.3128
O  0.8166  0.8839  0.8240
O  0.8839  0.8166  0.3240
O  0.8392  0.5950  0.6629
O  0.5950  0.8392  0.1629
O  0.7556  0.8435  0.5480
O  0.8435  0.7556  0.0480
O  0.5515  0.8131  0.9704
O  0.8131  0.5515  0.4704
O  0.4752  0.9145  0.7913
O  0.9145  0.4752  0.2913
O  0.8324  0.3453  0.9125
O  0.3453  0.8324  0.4125
O  0.1540  0.8743  0.9332
O  0.4891  0.4980  0.5788
O  0.8743  0.1540  0.4332
O  0.5012  0.5672  0.8244
O  0.4980  0.4891  0.0788
O  0.5672  0.5012  0.3244
O  0.9138  0.1899  0.6281
O  0.1899  0.9138  0.1281
O  0.5669  0.0754  0.5522
O  0.0754  0.5669  0.0522
O  0.1480  0.5265  0.7619
O  0.5265  0.1480  0.2619
O  0.1957  0.3585  0.9298
O  0.3585  0.1957  0.4298
O  0.2698  0.2314  0.7575
O  0.2314  0.2698  0.2575
O  0.2005  0.9659  0.5743
O  0.9659  0.2005  0.0743

Crystal system: monoclinic

---

The following is a DFT calculation (GGA-PBE) of crystalline Li3Bi3P4O16 at its relaxed geometry.

Cell lengths 6.6878, 9.6677, 10.9374 Å; angles 93.06, 90.00, 110.24 degrees
Positions (direct):
Li  0.4263  0.6916  0.7293
Li  0.2653  0.6916  0.2293
Li  0.5000  0.5000  0.5000
Li  0.0000  0.5000  0.0000
Li  0.7347  0.3084  0.7707
Li  0.5737  0.3084  0.2707
Bi  0.6756  0.7202  0.9823
Bi  0.0446  0.7202  0.4823
Bi  0.9554  0.2798  0.5177
Bi  0.3244  0.2798  0.0177
Bi  0.3577  0.0000  0.7500
Bi  0.6423  0.0000  0.2500
P  0.2418  0.8725  0.0075
P  0.6307  0.8725  0.5075
P  0.8768  0.6155  0.7353
P  0.7387  0.6155  0.2353
P  0.2613  0.3845  0.7647
P  0.1232  0.3845  0.2647
P  0.3693  0.1275  0.4925
P  0.7582  0.1275  0.9925
O  0.2214  0.0204  0.9688
O  0.7990  0.0204  0.4688
O  0.5383  0.8761  0.6374
O  0.3820  0.8293  0.9081
O  0.3378  0.8761  0.1374
O  0.4473  0.8293  0.4081
O  0.0188  0.7518  0.0057
O  0.1051  0.7298  0.7074
O  0.7330  0.7518  0.5057
O  0.7335  0.7086  0.7737
O  0.6247  0.7298  0.2074
O  0.9751  0.7086  0.2737
O  0.2873  0.4751  0.8920
O  0.3544  0.4903  0.6633
O  0.1878  0.4751  0.3920
O  0.1358  0.4903  0.1633
O  0.8642  0.5097  0.8367
O  0.8122  0.5249  0.6080
O  0.6456  0.5097  0.3367
O  0.7127  0.5249  0.1080
O  0.0249  0.2914  0.7263
O  0.3753  0.2702  0.7926
O  0.2665  0.2914  0.2263
O  0.2670  0.2482  0.4943
O  0.8949  0.2702  0.2926
O  0.9812  0.2482  0.9943
O  0.5527  0.1707  0.5919
O  0.6622  0.1239  0.8626
O  0.6180  0.1707  0.0919
O  0.4617  0.1239  0.3626
O  0.2010  0.9796  0.5312
O  0.7786  0.9796  0.0312

Crystal system: monoclinic

---

| no. | M_tot (μB per cell) | E_tot (eV/cell) |
| --- | --- | --- |
| 1 | 0.0 | -314.339 |
| 2 | 0.0 | -340.389 |